(1)
Compound: Nd2HfC
Source: Alexandria via LeMat-Bulk
Functional: PBE
Structure: optimized geometry

abc: 3.4945 3.4945 9.7764
angles: 79.70 79.70 60.00
Closest atoms and distances in Å follow each position.
Sites, in units of the cell vectors:
Nd1 0.8840 0.8840 0.3481  3 C 2.49
Nd2 0.1160 0.1160 0.6519  3 C 2.49
C1 0.5000 0.5000 0.5000  6 Nd 2.49
Hf1 0.0000 0.0000 0.0000  2 Nd 3.33, 6 Hf 3.49

Calculated values
Crystal system   trigonal
N(E_F)   4.2 states/eV/cell
Electronic total energy   -0.5002 Ry per atom


(2)
Compound: NdHf2C
Source: Alexandria via LeMat-Bulk
Functional: PBE
Structure: optimized geometry

abc: 3.2906 3.2906 9.2849
angles: 79.79 79.79 60.00
Closest atoms and distances in Å follow each position.
Sites, in units of the cell vectors:
Hf1 0.1216 0.1216 0.6353  3 C 2.26
Hf2 0.8784 0.8784 0.3647  3 C 2.26
Nd1 0.0000 0.0000 0.0000  6 Nd 3.29, 2 Hf 3.31
C1 0.5000 0.5000 0.5000  6 Hf 2.26

Calculated values
Crystal system   trigonal
N(E_F)   3.8 states/eV/cell
Electronic total energy   -0.6444 Ry per atom


(3)
Compound: NdHfC2
Source: Alexandria via LeMat-Bulk
Functional: PBE
Structure: optimized geometry

abc: 3.4765 3.4765 6.2032
angles: 73.73 73.73 60.00
Closest atoms and distances in Å follow each position.
Sites, in units of the cell vectors:
C1 0.2628 0.2628 0.2115  3 Hf 2.36, 3 Nd 2.63
C2 0.7372 0.7372 0.7885  3 Hf 2.36, 3 Nd 2.63
Hf1 0.0000 0.0000 0.0000  6 C 2.36
Nd1 0.5000 0.5000 0.5000  6 C 2.63

Calculated values
Crystal system   trigonal
N(E_F)   2.5 states/eV/cell
Electronic total energy   -0.6269 Ry per atom


(4)
Compound: NdHf2ReC4
Source: Alexandria via LeMat-Bulk
Functional: PBE
Structure: optimized geometry

abc: 3.3589 6.1234 11.5617
angles: 90.00 90.00 105.92
Closest atoms and distances in Å follow each position.
Sites, in units of the cell vectors:
Nd1 0.0960 0.1920 0.7500  6 C 2.59-2.85
Nd2 0.9040 0.8080 0.2500  6 C 2.59-2.85
Hf1 0.6288 0.2577 0.4607  5 C 2.20-2.45
Hf2 0.3712 0.7423 0.5393  5 C 2.20-2.45
Hf3 0.6288 0.2577 0.0393  5 C 2.20-2.45
Hf4 0.3712 0.7423 0.9607  5 C 2.20-2.45
C1 0.7388 0.4776 0.6143  1 Re 1.92
C2 0.2612 0.5224 0.1143  1 Re 1.92
C3 0.2612 0.5224 0.3857  1 Re 1.92
C4 0.0000 0.0000 0.5000  4 Hf 2.31
C5 0.7388 0.4776 0.8857  1 Re 1.92
C6 0.0000 0.0000 0.0000  4 Hf 2.31
C7 0.5719 0.1438 0.2500  2 Re 2.02
C8 0.4281 0.8562 0.7500  2 Re 2.02
Re1 0.8331 0.6661 0.7500  4 C 1.92-2.02
Re2 0.1669 0.3339 0.2500  4 C 1.92-2.02

Calculated values
Crystal system   orthorhombic
N(E_F)   6.7 states/eV/cell
Electronic total energy   -0.7057 Ry per atom


(5)
Compound: Hf3Ni2C
Source: Alexandria via LeMat-Bulk
Functional: PBE
Structure: optimized geometry

abc: 4.5035 6.5186 6.6115
angles: 90.04 109.91 90.00
Closest atoms and distances in Å follow each position.
Sites, in units of the cell vectors:
C1 0.0000 0.2500 0.0000  6 Hf 2.25-2.31
C2 0.0000 0.7500 0.0000  6 Hf 2.25-2.31
Ni1 0.7023 0.7496 0.4046  3 Hf 2.52-2.63, 2 Ni 2.54
Ni2 0.7023 0.2496 0.4046  3 Hf 2.52-2.63, 2 Ni 2.54
Ni3 0.2977 0.7504 0.5954  3 Hf 2.52-2.63, 2 Ni 2.54
Ni4 0.2977 0.2504 0.5954  3 Hf 2.52-2.63, 2 Ni 2.54
Hf1 0.1322 0.5001 0.2643  2 C 2.31
Hf2 0.1322 0.0001 0.2643  2 C 2.31
Hf3 0.8678 0.9999 0.7357  2 C 2.31
Hf4 0.5000 0.7500 0.0000  2 C 2.25, 2 Ni 2.52
Hf5 0.5000 0.2500 0.0000  2 C 2.25, 2 Ni 2.52
Hf6 0.8678 0.4999 0.7357  2 C 2.31

Calculated values
Crystal system   orthorhombic
N(E_F)   6.8 states/eV/cell
Electronic total energy   -0.6585 Ry per atom


(6)
Compound: HfNiC3
Source: Alexandria via LeMat-Bulk
Functional: PBE
Structure: optimized geometry

abc: 3.7395 3.7395 3.7395
angles: 90.00 90.00 90.00
Closest atoms and distances in Å follow each position.
Sites, in units of the cell vectors:
Hf1 0.5000 0.5000 0.5000  12 C 2.64
C1 0.0000 0.0000 0.5000  2 Ni 1.87
C2 0.0000 0.5000 0.0000  2 Ni 1.87
C3 0.5000 0.0000 0.0000  2 Ni 1.87
Ni1 0.0000 0.0000 0.0000  6 C 1.87

Calculated values
Crystal system   cubic
N(E_F)   4.9 states/eV/cell
Electronic total energy   -0.5294 Ry per atom


(7)
Compound: Hf3NiC
Source: Alexandria via LeMat-Bulk
Functional: PBE
Structure: optimized geometry

abc: 4.4093 4.4093 4.4093
angles: 90.00 90.00 90.00
Closest atoms and distances in Å follow each position.
Sites, in units of the cell vectors:
Ni1 0.5000 0.5000 0.5000  12 Hf 3.12
C1 0.0000 0.0000 0.0000  6 Hf 2.20
Hf1 0.5000 0.0000 0.0000  2 C 2.20
Hf2 0.0000 0.0000 0.5000  2 C 2.20
Hf3 0.0000 0.5000 0.0000  2 C 2.20

Calculated values
Relative energy among the computed polymorphs   0.298 eV per atom
Crystal system   cubic
N(E_F)   2.7 states/eV/cell
Electronic total energy   -0.6827 Ry per atom


(8)
Compound: Hf6Ni3C
Source: Alexandria via LeMat-Bulk
Functional: PBE
Structure: optimized geometry

abc: 5.7250 6.7973 8.9145
angles: 90.00 86.65 90.00
Closest atoms and distances in Å follow each position.
Sites, in units of the cell vectors:
Hf1 0.8283 0.6582 0.5617  1 C 2.26
Hf2 0.6387 0.2003 0.5679  1 C 2.28, 1 Ni 2.52
Hf3 0.8613 0.7003 0.9321  1 C 2.28, 1 Ni 2.52
Hf4 0.6717 0.1582 0.9383  1 C 2.26
Hf5 0.8423 0.9552 0.2374  1 C 2.27
Hf6 0.1577 0.0448 0.7626  1 C 2.27
Hf7 0.1387 0.2997 0.0679  1 C 2.28, 1 Ni 2.52
Hf8 0.3283 0.8418 0.0617  1 C 2.26
Hf9 0.1717 0.3418 0.4383  1 C 2.26
Hf10 0.6577 0.4552 0.2626  1 C 2.27
Hf11 0.3613 0.7997 0.4321  1 C 2.28, 1 Ni 2.52
Hf12 0.3423 0.5448 0.7374  1 C 2.27
Ni1 0.5000 0.5000 0.0000  6 Hf 2.52-2.58
Ni2 0.0000 0.0000 0.5000  6 Hf 2.52-2.58
Ni3 0.9234 0.3876 0.7599  6 Hf 2.60-2.74
Ni4 0.5766 0.8876 0.7401  6 Hf 2.60-2.74
Ni5 0.0766 0.6124 0.2401  6 Hf 2.60-2.74
Ni6 0.4234 0.1124 0.2599  6 Hf 2.60-2.74
C1 0.5000 0.5000 0.5000  6 Hf 2.26-2.28
C2 0.0000 0.0000 0.0000  6 Hf 2.26-2.28

Calculated values
Crystal system   monoclinic
N(E_F)   19.1 states/eV/cell
Electronic total energy   -0.6611 Ry per atom


(9)
Compound: Hf12Ni6C
Source: Alexandria via LeMat-Bulk
Functional: PBE
Structure: optimized geometry

abc: 7.2028 7.2028 7.2028
angles: 98.06 98.06 98.06
Closest atoms and distances in Å follow each position.
Sites, in units of the cell vectors:
Hf1 0.4150 0.5685 0.1869  3 Ni 2.46-2.63
Hf2 0.5685 0.1869 0.4150  3 Ni 2.46-2.63
Hf3 0.8131 0.5850 0.4315  3 Ni 2.46-2.63
Hf4 0.3101 0.0819 0.9783  1 C 2.26
Hf5 0.5850 0.4315 0.8131  3 Ni 2.46-2.63
Hf6 0.4315 0.8131 0.5850  3 Ni 2.46-2.63
Hf7 0.1869 0.4150 0.5685  3 Ni 2.46-2.63
Hf8 0.0819 0.9783 0.3101  1 C 2.26
Hf9 0.6899 0.9181 0.0217  1 C 2.26
Hf10 0.9181 0.0217 0.6899  1 C 2.26
Hf11 0.0217 0.6899 0.9181  1 C 2.26
Hf12 0.9783 0.3101 0.0819  1 C 2.26
Ni1 0.6337 0.3100 0.1249  5 Hf 2.46-2.65
Ni2 0.6900 0.8751 0.3663  5 Hf 2.46-2.65
Ni3 0.3663 0.6900 0.8751  5 Hf 2.46-2.65
Ni4 0.8751 0.3663 0.6900  5 Hf 2.46-2.65
Ni5 0.3100 0.1249 0.6337  5 Hf 2.46-2.65
Ni6 0.1249 0.6337 0.3100  5 Hf 2.46-2.65
C1 0.0000 0.0000 0.0000  6 Hf 2.26

Calculated values
Crystal system   trigonal
N(E_F)   17.7 states/eV/cell
Electronic total energy   -0.6411 Ry per atom


(10)
Compound: Hf3NiC
Source: Alexandria via LeMat-Bulk
Functional: PBE
Structure: optimized geometry

abc: 4.5187 5.5956 8.0183
angles: 63.16 73.63 66.19
Closest atoms and distances in Å follow each position.
Sites, in units of the cell vectors:
Hf1 0.6392 0.6453 0.0762  3 C 2.26-2.29
Hf2 0.9049 0.9856 0.2046  2 C 2.24-2.25
Hf3 0.8396 0.6939 0.6270  1 C 2.28
Hf4 0.0951 0.0144 0.7954  2 C 2.24-2.25
Hf5 0.3608 0.3547 0.9238  3 C 2.26-2.29
Hf6 0.1604 0.3061 0.3730  1 C 2.28
Ni1 0.4146 0.7638 0.4071  1 Ni 2.52, 5 Hf 2.69-2.76
Ni2 0.5854 0.2362 0.5929  1 Ni 2.52, 5 Hf 2.69-2.76
C1 0.1320 0.6560 0.0801  6 Hf 2.24-2.29
C2 0.8680 0.3440 0.9199  6 Hf 2.24-2.29

Calculated values
Relative energy among the computed polymorphs   0.135 eV per atom
Crystal system   monoclinic
N(E_F)   6.8 states/eV/cell
Electronic total energy   -0.6947 Ry per atom


(11)
Compound: HfNiC2
Source: Alexandria via LeMat-Bulk
Functional: PBE
Structure: optimized geometry

abc: 3.8654 3.8654 3.8654
angles: 60.00 60.00 60.00
Closest atoms and distances in Å follow each position.
Sites, in units of the cell vectors:
Ni1 0.0000 0.0000 0.0000  8 C 2.37
Hf1 0.5000 0.5000 0.5000  8 C 2.37
C1 0.7500 0.7500 0.7500  4 Hf 2.37, 4 Ni 2.37
C2 0.2500 0.2500 0.2500  4 Hf 2.37, 4 Ni 2.37

Calculated values
Relative energy among the computed polymorphs   0.250 eV per atom
Crystal system   cubic
N(E_F)   3.9 states/eV/cell
Electronic total energy   -0.5739 Ry per atom